Entry from Alexandria via LeMat-Bulk: a relaxed structure of Pm3CuAg3 (PBE).

- Energy of formation: -0.227 eV per atom

```
Pm3CuAg3
1.0
-1.852 2.354 9.884
1.852 -2.354 9.884
1.852 2.354 -9.884
Pm Cu Ag
3 1 3
Direct
0.000 0.000 0.000
0.375 0.375 0.000
0.696 0.196 0.500
0.259 0.759 0.500
0.129 0.629 0.500
0.548 0.548 0.000
0.829 0.829 0.000
```